Model i:
# Na2Zn2Se3 GGA-PBEsol optimized geometry
data_Na2Zn2Se3
_chemical_formula_sum 'Na16 Zn16 Se24'
_symmetry_space_group_name_H-M 'C 1 2/c 1'
_symmetry_Int_Tables_number 15
_cell_length_a 15.2026
_cell_length_b 13.6169
_cell_length_c 6.9481
_cell_angle_alpha 90.00
_cell_angle_beta 117.01
_cell_angle_gamma 90.00
loop_
_symmetry_equiv_pos_as_xyz
'x,y,z'
'-x,-y,-z'
'-x,y,-z+1/2'
'x,-y,z+1/2'
'x+1/2,y+1/2,z'
'-x+1/2,-y+1/2,-z'
'-x+1/2,y+1/2,-z+1/2'
'x+1/2,-y+1/2,z+1/2'
loop_
_atom_site_label
_atom_site_fract_x
_atom_site_fract_y
_atom_site_fract_z
Na1 0.0000 0.0670 0.2500
Na2 0.0000 0.2178 0.7500
Na3 0.1094 0.4155 0.6434
Zn1 0.1860 0.2330 0.2630
Zn2 0.2166 0.0782 0.7991
Se1 0.1093 0.3804 0.0597
Se2 0.1345 0.2163 0.5517
Se3 0.1536 0.0737 0.0725
# Volume: 1282 Å³ per cell
# DOS at the Fermi energy: 0.0 states/eV per cell

=====

Model ii:
# Na2Zn2Se3 GGA-PBEsol optimized geometry
data_Na2Zn2Se3
_chemical_formula_sum 'Na8 Zn8 Se12'
_symmetry_space_group_name_H-M 'P 43 21 2'
_symmetry_Int_Tables_number 96
_cell_length_a 7.2491
_cell_length_b 7.2491
_cell_length_c 12.0152
_cell_angle_alpha 90.00
_cell_angle_beta 90.00
_cell_angle_gamma 90.00
loop_
_symmetry_equiv_pos_as_xyz
'x,y,z'
'-y+1/2,x+1/2,z+3/4'
'-x,-y,z+1/2'
'y+1/2,-x+1/2,z+1/4'
'x+1/2,-y+1/2,-z+1/4'
'-y,-x,-z+1/2'
'-x+1/2,y+1/2,-z+3/4'
'y,x,-z'
loop_
_atom_site_label
_atom_site_fract_x
_atom_site_fract_y
_atom_site_fract_z
Na1 0.0625 0.3447 0.3042
Zn1 0.0268 0.1923 0.8840
Se1 0.0832 0.7772 0.5783
Se2 0.2145 0.7855 0.2500
# Volume: 631 Å³ per cell
# DOS at the Fermi energy: 0.0 states/eV per cell

=====

Which one sits at the bottom of the stability order? model ii does.

=====

Model i:
# Na2Zn2Sn GGA-PBEsol optimized geometry
data_Na2Zn2Sn
_chemical_formula_sum 'Na4 Zn4 Sn2'
_symmetry_space_group_name_H-M 'I 4/m m m'
_symmetry_Int_Tables_number 139
_symmetry_space_group_name_Hall '-I 4 2'
_cell_length_a 4.0650
_cell_length_b 4.0650
_cell_length_c 13.5670
_cell_angle_alpha 90.00
_cell_angle_beta 90.00
_cell_angle_gamma 90.00
loop_
_atom_site_label
_atom_site_fract_x
_atom_site_fract_y
_atom_site_fract_z
Na1 0.0000 0.5000 0.2500
Zn1 0.0000 0.0000 0.0898
Sn1 0.0000 0.0000 0.5000
# Volume: 224 Å³ per cell
# DOS at the Fermi energy: 4.8 states/eV per cell

=====

Model ii:
# Na2Zn2Sn GGA-PBEsol optimized geometry
data_Na2Zn2Sn
_chemical_formula_sum 'Na4 Zn4 Sn2'
_symmetry_space_group_name_H-M 'P 4/m b m'
_symmetry_Int_Tables_number 127
_symmetry_space_group_name_Hall '-P 4 2ab'
_cell_length_a 6.8465
_cell_length_b 6.8465
_cell_length_c 4.8934
_cell_angle_alpha 90.00
_cell_angle_beta 90.00
_cell_angle_gamma 90.00
loop_
_atom_site_label
_atom_site_fract_x
_atom_site_fract_y
_atom_site_fract_z
Na1 0.1789 0.3211 0.0000
Zn1 0.1256 0.6256 0.5000
Sn1 0.0000 0.0000 0.5000
# Volume: 229 Å³ per cell
# DOS at the Fermi energy: 4.8 states/eV per cell

=====

Which one sits at the bottom of the stability order? model i does.